LiPm3Pt8: optimized geometry, GGA-PBE.

Geometry as extended XYZ:
```
12
Lattice="-3.763 2.903 2.681 -1.672 -1.602 4.941 4.609 5.295 6.289" Properties=species:S:1:pos:R:3 pbc="T T T"
Li -2.859 3.251 9.126
Pm 1.935 5.076 8.326
Pm -5.266 1.428 7.720
Pm -0.545 3.198 6.878
Pt -3.419 3.011 5.845
Pt -0.061 3.393 10.119
Pt -1.523 1.548 4.494
Pt -1.946 4.847 11.461
Pt 0.973 2.542 4.167
Pt 0.567 5.846 11.126
Pt -2.365 0.740 6.984
Pt -1.109 5.649 8.987
```

Computed properties:
- space group = R3m

---

Li2Pm3Pt4: optimized geometry, GGA-PBE.

Geometry as extended XYZ:
```
9
Lattice="-3.382 0.660 -2.522 -1.270 -2.931 4.551 -1.045 7.958 3.486" Properties=species:S:1:pos:R:3 pbc="T T T"
Li -2.093 0.049 2.820
Li -3.604 5.638 2.694
Pm -2.910 2.961 4.677
Pm 0.000 0.000 0.000
Pm -2.788 2.726 0.837
Pt -3.042 -0.051 0.451
Pt -1.208 4.565 2.815
Pt -4.489 1.123 2.699
Pt -2.655 5.739 5.064
```

Computed properties:
- space group = C2/m

---

LiPm2Pt3: optimized geometry, GGA-PBE.

Geometry as extended XYZ:
```
12
Lattice="-0.965 4.320 0.548 0.951 -2.540 3.542 14.544 3.433 -1.442" Properties=species:S:1:pos:R:3 pbc="T T T"
Li 10.581 4.608 0.465
Li 3.948 0.605 2.183
Pm 9.065 2.140 -0.899
Pm 5.479 1.293 -0.543
Pm 1.793 0.423 -0.178
Pm 12.751 3.010 -1.264
Pt 3.309 2.892 1.186
Pt 11.220 2.322 1.463
Pt 7.047 3.774 0.815
Pt 7.482 1.439 1.833
Pt 0.414 -0.229 2.534
Pt 14.116 5.443 0.115
```

Computed properties:
- relative energy among the computed polymorphs (kJ/mol of formula units) = 37
- space group = P6_3/mmc

---

LiPm2Pt2: optimized geometry, GGA-PBE.

Geometry as extended XYZ:
```
5
Lattice="-1.830 -1.072 3.801 -3.501 -4.400 -0.434 1.759 -4.999 1.930" Properties=species:S:1:pos:R:3 pbc="T T T"
Li -2.666 -2.736 1.683
Pm -3.554 -5.781 2.889
Pm -0.018 -4.690 2.407
Pt -2.226 -3.426 4.193
Pt -1.346 -7.045 1.104
```

Computed properties:
- relative energy among the computed polymorphs (kJ/mol of formula units) = 0
- space group = Immm

---

Li3Pm2Pt2: optimized geometry, GGA-PBE.

Geometry as extended XYZ:
```
7
Lattice="4.208 0.000 0.000 -2.104 5.100 -0.200 0.000 -2.620 6.955" Properties=species:S:1:pos:R:3 pbc="T T T"
Li 2.104 0.000 0.000
Li 2.104 0.401 2.963
Li 0.000 2.079 3.792
Pm 2.104 3.124 1.350
Pm 0.000 -0.644 5.405
Pt 2.104 1.396 5.481
Pt 0.000 1.084 1.274
```

Computed properties:
- relative energy among the computed polymorphs (kJ/mol of formula units) = 0
- space group = C2/m

---

Li3PmPt3: optimized geometry, GGA-PBE.

Geometry as extended XYZ:
```
14
Lattice="6.403 0.000 0.000 0.000 6.403 0.000 0.000 0.000 6.403" Properties=species:S:1:pos:R:3 pbc="T T T"
Li 0.000 1.601 3.202
Li 0.000 4.802 3.202
Li 3.202 0.000 4.802
Li 4.802 3.202 0.000
Li 3.202 0.000 1.601
Li 1.601 3.202 0.000
Pt 1.601 0.000 3.202
Pt 0.000 3.202 1.601
Pt 3.202 4.802 0.000
Pt 4.802 0.000 3.202
Pt 0.000 3.202 4.802
Pt 3.202 1.601 0.000
Pm 3.202 3.202 3.202
Pm 0.000 0.000 0.000
```

Computed properties:
- space group = Pm-3n

---

no.,DOS(E_F) (states/eV/f.u.),energy of formation (kJ/mol of atoms)
1,10.54,-95
2,5.06,-87
3,5.13,-81
4,2.75,-89
5,4.72,-63
6,3.81,-6